Computed, not measured: an optimized crystal structure of CsTlAg at the GGA-PBE level of DFT.

a = 5.3015 Å, b = 13.6118 Å, c = 5.9906 Å
α = 90.00°, β = 90.00°, γ = 90.00°
Closest atoms and distances in Å follow each position.
Fractional positions:
1 Cs 0.0000 0.0000 0.7560  4 Cs 3.99-4.01, 6 Tl 4.03-4.09
2 Cs 0.0000 0.5000 0.2560  4 Cs 3.99-4.01, 6 Tl 4.03-4.09
3 Cs 0.5000 0.0000 0.2547  4 Ag 3.72, 4 Tl 3.80, 4 Cs 3.99-4.01
4 Cs 0.5000 0.5000 0.7547  4 Ag 3.72, 4 Tl 3.80, 4 Cs 3.99-4.01
5 Tl 0.0000 0.6996 0.7580  4 Ag 3.12, 2 Tl 3.29
6 Tl 0.0000 0.3004 0.7580  4 Ag 3.12, 2 Tl 3.29
7 Tl 0.0000 0.1996 0.2580  4 Ag 3.12, 2 Tl 3.29
8 Tl 0.0000 0.8004 0.2580  4 Ag 3.12, 2 Tl 3.29
9 Ag 0.5000 0.7506 0.5086  2 Ag 3.00, 4 Tl 3.12
10 Ag 0.5000 0.2494 0.5086  2 Ag 3.00, 4 Tl 3.12
11 Ag 0.5000 0.2506 0.0086  2 Ag 3.00, 4 Tl 3.12
12 Ag 0.5000 0.7494 0.0086  2 Ag 3.00, 4 Tl 3.12

energy relative to the elements: 31 meV per atom
E_tot: -1.99 eV/atom
magnetization: 0.00 μB/f.u.